(1)
# YEr2Ta

A relaxed YEr2Ta crystal (PBE, Alexandria via LeMat-Bulk).

abc: 3.261 3.261 11.781
angles: 82.04 82.04 60.00
Positions (direct):
Ta 0.000 0.000 0.000
Y 0.500 0.500 0.500
Er 0.084 0.084 0.749
Er 0.916 0.916 0.251

Properties
**Crystal system**: trigonal
**DFT total energy**: -25.04 eV for the cell shown
**E_form**: 0.60 eV/atom

---

(2)
# NaCaC3

A relaxed NaCaC3 crystal (PBE, Alexandria via LeMat-Bulk).

abc: 4.282 4.282 4.282
angles: 90.00 90.00 90.00
Positions (direct):
C 0.500 0.000 0.000
C 0.000 0.500 0.000
C 0.000 0.000 0.500
Na 0.000 0.000 0.000
Ca 0.500 0.500 0.500

Properties
**Crystal system**: cubic
**DFT total energy**: -17.01 eV for the cell shown
**E_form**: 2.80 eV/atom
**Relative energy among the computed polymorphs**: 0 kJ/mol of formula units

---

(3)
# Ba2PbCl

A relaxed Ba2PbCl crystal (PBE, Alexandria via LeMat-Bulk).

abc: 6.003 6.003 6.003
angles: 60.00 60.00 60.00
Each line ends with the local moment (μB).
Positions (direct):
Ba 0.750 0.750 0.750  0.06
Ba 0.250 0.250 0.250  0.06
Pb 0.500 0.500 0.500  0.25
Cl 0.000 0.000 0.000  0.03

Properties
**Raw formation energy**: -4.07 eV per formula unit
**Crystal system**: cubic
**DFT total energy**: -13.47 eV for the cell shown
**Relative energy among the computed polymorphs**: 81 kJ/mol of formula units

---

(4)
# CaPm3C

A relaxed CaPm3C crystal (PBE, Alexandria via LeMat-Bulk).

abc: 5.261 5.261 5.261
angles: 90.00 90.00 90.00
Positions (direct):
C 0.000 0.000 0.000
Pm 0.500 0.000 0.000
Pm 0.000 0.000 0.500
Pm 0.000 0.500 0.000
Ca 0.500 0.500 0.500

Properties
**Crystal system**: cubic
**DFT total energy**: -25.16 eV for the cell shown
**E_form**: 0.06 eV/atom

---

(5)
# CeVAs2

A relaxed CeVAs2 crystal (PBE, Alexandria via LeMat-Bulk).

abc: 3.974 3.972 6.297
angles: 108.37 108.41 90.00
Each line ends with the local moment (μB).
Positions (direct):
As 0.594 0.254 0.974  -0.07
As 0.849 0.508 0.482  -0.07
V 0.472 0.631 0.728  1.65
Ce 0.221 0.881 0.228  0.88

Properties
**Crystal system**: tetragonal
**DFT total energy**: -26.73 eV for the cell shown
**E_form**: -0.59 eV/atom
**Relative energy among the computed polymorphs**: 0 kJ/mol of formula units

---

(6)
# Pa3CrS6

A relaxed Pa3CrS6 crystal (PBE, Alexandria via LeMat-Bulk).

abc: 6.342 8.289 8.289
angles: 99.02 90.00 90.00
Each line ends with the local moment (μB).
Positions (direct):
S 0.184 0.698 0.627  -0.02
S 0.676 0.905 0.420  -0.03
S 0.684 0.302 0.373  -0.02
S 0.242 0.004 0.996  -0.01
S 0.164 0.763 0.237  -0.03
S 0.742 0.996 0.004  -0.01
S 0.176 0.420 0.905  -0.03
S 0.176 0.095 0.580  -0.03
S 0.684 0.627 0.698  -0.02
S 0.184 0.373 0.302  -0.02
S 0.664 0.237 0.763  -0.03
S 0.676 0.580 0.095  -0.03
Cr 0.505 0.846 0.154  3.15
Cr 0.005 0.154 0.846  3.15
Pa 0.990 0.729 0.929  0.09
Pa 0.490 0.271 0.071  0.09
Pa 0.874 0.606 0.394  0.83
Pa 0.490 0.929 0.729  0.09
Pa 0.990 0.071 0.271  0.09
Pa 0.374 0.394 0.606  0.83

Properties
**Raw formation energy**: -13.97 eV per formula unit
**Crystal system**: orthorhombic
**DFT total energy**: -153.68 eV for the cell shown
**Relative energy among the computed polymorphs**: 0 kJ/mol of formula units

---

> The lowest DFT total energy belongs to which entry?

Pa3CrS6

---

> DFT total energy of number 2 (NaCaC3)?

-17.01 eV for the cell shown